1.
# AcCdTe2 GGA-PBE relaxed
# E above lowest polymorph in kcal/mol of atoms: 1.33
# Total magnetization in μB/f.u.: 0.00
# ΔE_f (raw) in eV per atom: -0.8556
data_AcCdTe2
_space_group_name_H-M_alt 'F m -3 m'
_space_group_IT_number 225
_space_group_name_Hall '-F 4 2 3'
_cell_length_a 7.9983
_cell_length_b 7.9983
_cell_length_c 7.9983
_cell_angle_alpha 90.00
_cell_angle_beta 90.00
_cell_angle_gamma 90.00
loop_
_atom_site_label
_atom_site_fract_x
_atom_site_fract_y
_atom_site_fract_z
_atom_site_occupancy
Ac1 0.0000 0.0000 0.0000 1
Cd1 0.0000 0.0000 0.5000 1
Te1 0.2500 0.2500 0.2500 1

***

2.
# Ac4CdTe3 GGA-PBE relaxed
# Total magnetization in μB/f.u.: 0.00
# ΔE_f (raw) in eV per atom: -1.1621
data_Ac4CdTe3
_space_group_name_H-M_alt 'C m m m'
_space_group_IT_number 65
_space_group_name_Hall '-C 2 2'
_cell_length_a 9.7613
_cell_length_b 13.4910
_cell_length_c 4.6269
_cell_angle_alpha 90.00
_cell_angle_beta 90.00
_cell_angle_gamma 90.00
loop_
_atom_site_label
_atom_site_fract_x
_atom_site_fract_y
_atom_site_fract_z
_atom_site_occupancy
Ac1 0.0000 0.2468 0.0000 1
Ac2 0.2432 0.0000 0.5000 1
Cd1 0.0000 0.0000 0.0000 1
Te1 0.0000 0.5000 0.0000 1
Te2 0.2500 0.2500 0.5000 1

***

3.
# Ac3CdTe6 GGA-PBE relaxed
# Total magnetization in μB/f.u.: 0.00
# ΔE_f (raw) in eV per atom: -1.2128
data_Ac3CdTe6
_space_group_name_H-M_alt 'C m c 21'
_space_group_IT_number 36
_cell_length_a 13.2578
_cell_length_b 16.5029
_cell_length_c 7.4004
_cell_angle_alpha 90.00
_cell_angle_beta 90.00
_cell_angle_gamma 90.00
loop_
_space_group_symop_operation_xyz
'x,y,z'
'-x,-y,z+1/2'
'-x,y,z'
'x,-y,z+1/2'
'x+1/2,y+1/2,z'
'-x+1/2,-y+1/2,z+1/2'
'-x+1/2,y+1/2,z'
'x+1/2,-y+1/2,z+1/2'
loop_
_atom_site_label
_atom_site_fract_x
_atom_site_fract_y
_atom_site_fract_z
_atom_site_occupancy
Ac1 0.0000 0.1168 0.0000 1
Ac2 0.1764 0.3943 0.9202 1
Cd1 0.0000 0.3034 0.3567 1
Te1 0.0000 0.2799 0.7328 1
Te2 0.0000 0.4695 0.2215 1
Te3 0.1591 0.0172 0.7089 1
Te4 0.1750 0.2348 0.1910 1